Rb6TeBr2O: relaxed, PBE.

## Properties
As for the crystal system: orthorhombic. The uncorrected formation energy comes out at -1.209 eV per atom. The volume comes out at 48.36 Å³ per atom.

Unit cell a=8.1232 b=9.7424 c=12.2214 alpha=90.00 beta=90.00 gamma=90.00
Last column: nearest neighbours and their distance in Å.
Fractional coordinates of all 20 atoms:
Te 0.0000 0.6730 0.5000  6 Rb 3.55-3.62
Te 0.5000 0.3270 0.0000  6 Rb 3.55-3.62
Rb 0.7652 0.0283 0.0000  1 O 2.84
Rb 0.7644 0.3655 0.5000  1 O 2.76
Rb 0.2356 0.3655 0.5000  1 O 2.76
Rb 0.7348 0.9717 0.5000  1 O 2.84
Rb 0.2652 0.9717 0.5000  1 O 2.84
Rb 0.2644 0.6345 0.0000  1 O 2.76
Rb 0.7356 0.6345 0.0000  1 O 2.76
Rb 0.5000 0.1925 0.2719  1 O 2.79
Rb 0.0000 0.8075 0.7719  1 O 2.79
Rb 0.0000 0.8075 0.2281  1 O 2.79
Rb 0.2348 0.0283 0.0000  1 O 2.84
Rb 0.5000 0.1925 0.7281  1 O 2.79
O 0.5000 0.1879 0.5000  6 Rb 2.76-2.84
O 0.0000 0.8121 0.0000  6 Rb 2.76-2.84
Br 0.5000 0.8521 0.8099  5 Rb 3.46-3.68
Br 0.5000 0.8521 0.1901  5 Rb 3.46-3.68
Br 0.0000 0.1479 0.6901  5 Rb 3.46-3.68
Br 0.0000 0.1479 0.3099  5 Rb 3.46-3.68

=====

RbTl2BrO: relaxed, PBE.

## Properties
As for the crystal system: monoclinic. The uncorrected formation energy comes out at -0.943 eV per atom. The volume comes out at 34.09 Å³ per atom.

Unit cell a=4.7805 b=8.5952 c=8.3070 alpha=87.27 beta=90.00 gamma=90.00
Last column: nearest neighbours and their distance in Å.
Fractional coordinates of all 10 atoms:
Rb 0.7500 0.3620 0.2826  1 O 3.06
Rb 0.2500 0.6380 0.7174  1 O 3.06
O 0.7500 0.0346 0.1527  2 Tl 2.23-2.35
O 0.2500 0.9654 0.8473  2 Tl 2.23-2.35
Tl 0.7500 0.8968 0.3873  1 O 2.23
Tl 0.2500 0.1465 0.0501  1 O 2.35
Tl 0.2500 0.1032 0.6127  1 O 2.23
Tl 0.7500 0.8535 0.9499  1 O 2.35
Br 0.7500 0.3496 0.7080  2 Tl 3.31, 3 Rb 3.45-3.53
Br 0.2500 0.6504 0.2920  2 Tl 3.31, 3 Rb 3.45-3.53

=====

Rb2UBr4O4: relaxed, PBE.

## Properties
As for the crystal system: triclinic. The uncorrected formation energy comes out at -1.259 eV per atom. The volume comes out at 31.02 Å³ per atom.

Unit cell a=7.1021 b=6.5371 c=8.1295 alpha=90.72 beta=102.39 gamma=111.50
Last column: nearest neighbours and their distance in Å.
Fractional coordinates of all 11 atoms:
Br 0.9502 0.7857 0.1786  1 O 2.54, 1 U 2.84
Br 0.0498 0.2143 0.8214  1 O 2.54, 1 U 2.84
Br 0.2961 0.8196 0.6478  1 O 2.47
Br 0.7039 0.1804 0.3522  1 O 2.47
O 0.3488 0.5887 0.8775  2 Br 2.47-2.54
O 0.7851 0.7637 0.5384  1 U 1.82
O 0.2149 0.2363 0.4616  1 U 1.82
O 0.6512 0.4113 0.1225  2 Br 2.47-2.54
U 0.0000 0.0000 0.5000  2 O 1.82
Rb 0.3693 0.5869 0.2349  3 O 2.88-3.00
Rb 0.6307 0.4131 0.7651  3 O 2.88-3.00